No. 1
# NdPaBi2

NdPaBi2 after structural relaxation (GGA-PBE, the Alexandria database).

```
4
Lattice="3.4102 0.0000 0.0000 0.0000 5.8716 0.0000 0.0000 0.0000 5.8716" Properties=species:S:1:pos:R:3 pbc="T T T"
Pa 1.7051 0.0000 0.0000
Nd 1.7051 2.9358 2.9358
Bi 0.0000 0.0000 2.9358
Bi 0.0000 2.9358 0.0000
```

Values from the calculation:
DOS at the Fermi energy = 5.85 states/eV/f.u.
distance to the lowest polymorph of the same formula = 0.019 eV/atom
energy of formation from the pure elements = -0.374 eV per atom
space-group type = P4/mmm (123)



No. 2
# TbNd6Dy4

TbNd6Dy4 after structural relaxation (GGA-PBE, the Alexandria database).

```
11
Lattice="-8.0943 5.3973 2.0842 3.1246 -9.4331 -0.4958 8.4034 -3.3173 4.1677" Properties=species:S:1:pos:R:3 pbc="T T T"
Tb 0.0000 0.0000 0.0000
Nd 6.3835 -9.1977 1.5001
Nd 8.2712 -7.0108 3.1677
Nd 3.3674 -4.9958 2.7398
Nd -2.4848 -2.0179 0.7942
Nd -3.0603 1.1009 2.0204
Nd 0.1546 1.0400 3.1259
Dy 2.0905 -6.0740 -0.2726
Dy 1.1487 -2.5882 2.0939
Dy 5.4129 -2.2249 2.6625
Dy 6.3097 -9.2164 4.9442
```

Values from the calculation:
DOS at the Fermi energy = 17.39 states/eV/f.u.
distance to the lowest polymorph of the same formula = 0.000 eV/atom
energy of formation from the pure elements = 0.287 eV per atom
space-group type = I-42m (121)



No. 3
# EuDyP2

EuDyP2 after structural relaxation (GGA-PBE, the Alexandria database).

```
4
Lattice="4.0802 0.0000 0.0000 2.0401 3.5335 0.0000 2.0401 1.1778 6.7010" Properties=species:S:1:pos:R:3 pbc="T T T"
Eu 4.0802 2.3557 3.3505
P 2.0401 1.1778 1.6030
P 6.1203 3.5335 5.0980
Dy 0.0000 0.0000 0.0000
```

Values from the calculation:
DOS at the Fermi energy = 8.80 states/eV/f.u.
energy of formation from the pure elements = -1.326 eV per atom
space-group type = R-3m (166)



No. 4
# LaNi2Ir

LaNi2Ir after structural relaxation (GGA-PBE, the Alexandria database).

```
4
Lattice="-4.1070 1.0068 1.6363 -1.1753 4.3278 0.6692 -3.0931 1.9498 -2.6813" Properties=species:S:1:pos:R:3 pbc="T T T"
Ni -2.0939 1.8211 -0.0940
Ni -6.2816 5.4633 -0.2819
Ir -4.1877 3.6422 -0.1879
La 0.0000 0.0000 0.0000
```

Values from the calculation:
DOS at the Fermi energy = 4.21 states/eV/f.u.
energy of formation from the pure elements = -0.038 eV per atom
space-group type = Fm-3m (225)



No. 5
# ScSiOs

ScSiOs after structural relaxation (GGA-PBE, the Alexandria database).

```
3
Lattice="4.3128 0.0000 0.0000 2.1564 3.7350 0.0000 2.1564 1.2450 3.5214" Properties=species:S:1:pos:R:3 pbc="T T T"
Os 4.3128 2.4900 1.7607
Sc 6.4693 3.7350 2.6411
Si 0.0000 0.0000 0.0000
```

Values from the calculation:
DOS at the Fermi energy = 1.37 states/eV/f.u.
energy relative to the elements, uncorrected = 0.506 eV per atom
space-group type = F-43m (216)



No. 6
# DyHoPt

DyHoPt after structural relaxation (GGA-PBE, the Alexandria database).

```
3
Lattice="-1.7951 3.9541 4.3133 -3.5072 0.6368 -2.0433 0.2218 -2.9778 2.8221" Properties=species:S:1:pos:R:3 pbc="T T T"
Ho -0.1662 0.3661 0.3994
Pt -1.6171 -0.4605 2.6320
Dy -3.2972 1.7074 2.0607
```

Values from the calculation:
DOS at the Fermi energy = 1.80 states/eV/f.u.
distance to the lowest polymorph of the same formula = 0.189 eV/atom
energy of formation from the pure elements = -0.769 eV per atom
space-group type = P3m1 (156)



No. 7
# NbZn2OsN

NbZn2OsN after structural relaxation (GGA-PBE, the Alexandria database).

```
5
Lattice="4.7831 0.0000 0.0000 0.0000 4.8270 0.0000 0.0000 0.0000 4.7831" Properties=species:S:1:pos:R:3 pbc="T T T"
Nb 0.0000 2.4135 0.0000
Os 0.0000 0.0000 0.0000
Zn 0.0000 0.0000 2.3916
Zn 2.3916 0.0000 0.0000
N 2.3916 2.4135 2.3916
```

Values from the calculation:
DOS at the Fermi energy = 4.69 states/eV/f.u.
energy relative to the elements, uncorrected = 1.686 eV per atom
space-group type = P4/mmm (123)



No. 8
# SmDyZnSi

SmDyZnSi after structural relaxation (GGA-PBE, the Alexandria database).

```
4
Lattice="-3.1902 -1.0964 -3.7313 1.6956 -0.4187 -4.7172 0.1784 -4.5115 -2.2174" Properties=species:S:1:pos:R:3 pbc="T T T"
Zn -0.3290 -1.5066 -2.6665
Si -0.9871 -4.5199 -7.9994
Sm -0.6581 -3.0133 -5.3329
Dy 0.0000 0.0000 0.0000
```

Values from the calculation:
DOS at the Fermi energy = 2.03 states/eV/f.u.
distance to the lowest polymorph of the same formula = 0.098 eV/atom
energy relative to the elements, uncorrected = -0.451 eV per atom
space-group type = F-43m (216)



No. 9
# Na4Dy3BiSe8

Na4Dy3BiSe8 after structural relaxation (GGA-PBE, the Alexandria database).

```
16
Lattice="-2.1371 7.8070 2.0400 -5.4511 0.2183 -6.5461 -0.6337 -6.1121 5.6488" Properties=species:S:1:pos:R:3 pbc="T T T"
Na -1.0686 3.9035 1.0200
Na -1.3854 0.8475 3.8444
Na 0.0000 0.0000 0.0000
Na -0.3168 -3.0560 2.8244
Dy -3.7941 4.0126 -2.2530
Dy -4.1110 0.9566 0.5714
Dy -3.0424 -2.9469 -0.4486
Bi -2.7256 0.1091 -3.2730
Se -5.1426 -3.9320 1.2771
Se -4.8314 -0.9318 -1.4956
Se -2.3595 -1.0771 1.6502
Se -6.1916 -0.0998 2.2785
Se -2.0303 2.0130 -1.1357
Se -5.8624 2.9903 -0.5074
Se -3.3906 2.8450 2.6384
Se -3.0794 5.8452 -0.1343
```

Values from the calculation:
DOS at the Fermi energy = 0.00 states/eV/f.u.
energy relative to the elements, uncorrected = -1.463 eV per atom
space-group type = R-3m (166)



No. 10
# AlRuPt2

AlRuPt2 after structural relaxation (GGA-PBE, the Alexandria database).

```
4
Lattice="4.4724 0.0000 0.0000 0.0000 2.7761 -0.0007 0.0000 0.0013 4.7566" Properties=species:S:1:pos:R:3 pbc="T T T"
Ru 0.0000 1.7357 2.1045
Al 2.2362 1.7360 3.8036
Pt 0.0000 0.3487 4.4955
Pt 2.2362 0.3469 1.4869
```

Values from the calculation:
DOS at the Fermi energy = 4.39 states/eV/f.u.
energy of formation from the pure elements = -0.431 eV per atom
space-group type = Pmm2 (25)



No. 11
# SrScNb3

SrScNb3 after structural relaxation (GGA-PBE, the Alexandria database).

```
5
Lattice="-1.2550 -0.7887 -4.7033 4.3350 -2.2157 -0.7851 -1.9877 -4.3343 1.2572" Properties=species:S:1:pos:R:3 pbc="T T T"
Sc 0.5462 -3.6694 -2.1156
Sr 0.0000 0.0000 0.0000
Nb 2.1675 -1.1079 -0.3926
Nb -0.9938 -2.1672 0.6286
Nb -0.6275 -0.3944 -2.3516
```

Values from the calculation:
DOS at the Fermi energy = 8.44 states/eV/f.u.
distance to the lowest polymorph of the same formula = 0.733 eV/atom
energy of formation from the pure elements = 2.171 eV per atom
space-group type = Pm-3m (221)



No. 12
# Ac2PbF3

Ac2PbF3 after structural relaxation (GGA-PBE, the Alexandria database).

```
12
Lattice="4.2808 0.0000 0.0000 -2.1404 7.4652 -3.1588 0.0000 -0.0770 8.8042" Properties=species:S:1:pos:R:3 pbc="T T T"
Ac 0.0000 7.0197 3.5731
Ac 2.1404 0.3686 2.0724
Ac 2.1404 4.4395 0.8640
Ac 0.0000 2.9488 4.7815
Pb 2.1404 5.4171 6.1705
Pb 0.0000 1.9712 -0.5250
F 0.0000 4.5634 2.8208
F 2.1404 6.4849 2.3714
F 2.1404 1.4585 5.0678
F 0.0000 5.9298 0.5777
F 0.0000 0.9034 3.2741
F 2.1404 2.8249 2.8247
```

Values from the calculation:
DOS at the Fermi energy = 1.92 states/eV/f.u.
energy relative to the elements, uncorrected = -2.904 eV per atom
space-group type = C2/m (12)



No. 13
# MgAg2

MgAg2 after structural relaxation (GGA-PBE, the Alexandria database).

```
12
Lattice="6.4368 0.0000 0.0000 0.0000 6.4368 0.0000 0.0000 0.0000 6.4368" Properties=species:S:1:pos:R:3 pbc="T T T"
Mg 0.0000 0.0000 0.0000
Mg 0.0000 3.2184 3.2184
Mg 3.2184 0.0000 3.2184
Mg 3.2184 3.2184 0.0000
Ag 0.8018 4.0202 5.6350
Ag 0.8018 5.6350 2.4166
Ag 2.4166 0.8018 5.6350
Ag 2.4166 2.4166 2.4166
Ag 4.0202 4.0202 4.0202
Ag 4.0202 5.6350 0.8018
Ag 5.6350 0.8018 4.0202
Ag 5.6350 2.4166 0.8018
```

Values from the calculation:
DOS at the Fermi energy = 1.70 states/eV/f.u.
distance to the lowest polymorph of the same formula = 0.510 eV/atom
energy of formation from the pure elements = 0.333 eV per atom
space-group type = Pa-3 (205)



No. 14
# SrCrAu

SrCrAu after structural relaxation (GGA-PBE, the Alexandria database).

```
3
Lattice="-3.3017 -3.2955 0.2477 2.3478 0.6593 -3.9845 2.9589 -2.8692 1.2687" Properties=species:S:1:pos:R:3 pbc="T T T"
Au 0.4942 -0.4792 0.2119
Cr -0.9258 -2.4550 -0.9517
Sr 2.4366 -2.5711 -1.7282
```

Values from the calculation:
DOS at the Fermi energy = 2.07 states/eV/f.u.
distance to the lowest polymorph of the same formula = 0.000 eV/atom
energy of formation from the pure elements = 0.006 eV per atom
space-group type = P-6m2 (187)



No. 15
# Mn2IrRh

Mn2IrRh after structural relaxation (GGA-PBE, the Alexandria database).

```
4
Lattice="-1.0623 2.1213 -3.8408 -0.9507 -4.3813 -0.5293 -2.4639 0.4240 0.9157" Properties=species:S:1:pos:R:3 pbc="T T T"
Ir -1.7073 -1.9787 0.1932
Mn 0.0000 0.0000 0.0000
Mn -1.0065 -1.1300 -2.1850
Rh -1.7631 1.2727 -1.4626
```

Values from the calculation:
DOS at the Fermi energy = 4.29 states/eV/f.u.
energy of formation from the pure elements = -0.086 eV per atom
space-group type = Cmmm (65)



No. 16
# SrBeW2

SrBeW2 after structural relaxation (GGA-PBE, the Alexandria database).

```
4
Lattice="3.2659 0.0000 0.0000 0.0000 3.2659 0.0000 0.0000 0.0000 7.2903" Properties=species:S:1:pos:R:3 pbc="T T T"
Sr 1.6329 1.6329 5.3953
W 0.0000 0.0000 0.5996
W 1.6329 1.6329 1.9169
Be 0.0000 0.0000 3.0237
```

Values from the calculation:
DOS at the Fermi energy = 5.54 states/eV/f.u.
energy of formation from the pure elements = 0.573 eV per atom
space-group type = P4mm (99)



No. 17
# Ce2Pr5Ga4

Ce2Pr5Ga4 after structural relaxation (GGA-PBE, the Alexandria database).

```
11
Lattice="-3.8524 -1.5815 -0.9884 3.2561 -6.2814 -2.6405 -0.3473 -0.3199 11.1320" Properties=species:S:1:pos:R:3 pbc="T T T"
Ce -0.5528 -3.6413 7.9804
Ce -0.3907 -4.5415 -0.4774
Pr 0.5485 -2.8281 2.3871
Pr -1.4920 -5.3547 5.1159
Pr 2.2920 -6.1914 0.9732
Pr -1.9262 -0.7907 -0.4942
Pr -3.2355 -1.9914 6.5298
Ga -0.5764 -5.7643 2.2025
Ga 0.9602 -1.8523 -0.7787
Ga -0.3672 -2.4185 5.3005
Ga 2.2959 -4.4291 -1.8619
```

Values from the calculation:
DOS at the Fermi energy = 13.70 states/eV/f.u.
energy of formation from the pure elements = -0.274 eV per atom
space-group type = Immm (71)



No. 18
# CaBIrRh2

CaBIrRh2 after structural relaxation (GGA-PBE, the Alexandria database).

```
5
Lattice="-3.4809 1.2883 1.6486 -0.0057 -3.7024 2.8811 2.0923 2.1357 2.7487" Properties=species:S:1:pos:R:3 pbc="T T T"
Ca -0.0028 -1.8512 1.4405
Ir -0.6971 -0.1392 3.6392
Rh 1.0461 1.0679 1.3743
Rh -1.7404 0.6441 0.8243
B 0.0000 0.0000 0.0000
```

Values from the calculation:
DOS at the Fermi energy = 3.10 states/eV/f.u.
distance to the lowest polymorph of the same formula = 0.546 eV/atom
energy of formation from the pure elements = 0.135 eV per atom
space-group type = P4/mmm (123)



No. 19
# NbInN

NbInN after structural relaxation (GGA-PBE, the Alexandria database).

```
12
Lattice="2.9476 0.0000 -0.0001 0.0000 12.2813 0.0000 -0.0069 0.0000 5.7004" Properties=species:S:1:pos:R:3 pbc="T T T"
Nb 1.6790 2.4945 0.6885
Nb 1.6790 9.7868 0.6885
Nb 1.6756 8.6352 3.5387
Nb 1.6756 3.6461 3.5387
In 0.2696 0.0000 2.3375
In 0.2662 6.1407 5.1877
In 0.1633 0.0000 5.1579
In 0.1667 6.1407 2.3077
N 0.2034 9.3937 2.1954
N 0.2034 2.8877 2.1954
N 0.1999 3.2530 5.0457
N 0.1999 9.0283 5.0457
```

Values from the calculation:
DOS at the Fermi energy = 1.43 states/eV/f.u.
distance to the lowest polymorph of the same formula = 0.184 eV/atom
energy relative to the elements, uncorrected = -0.329 eV per atom
space-group type = Cm (8)



No. 20
# La3Sc

La3Sc after structural relaxation (GGA-PBE, the Alexandria database).

```
4
Lattice="5.7717 0.0000 0.0000 2.8859 4.9984 0.0000 2.8859 1.6661 4.7126" Properties=species:S:1:pos:R:3 pbc="T T T"
La 0.0000 0.0000 0.0000
La 5.7717 3.3323 2.3563
La 2.8859 1.6661 1.1781
Sc 8.6576 4.9984 3.5344
```

Values from the calculation:
DOS at the Fermi energy = 9.96 states/eV/f.u.
energy of formation from the pure elements = 0.143 eV per atom
space-group type = Fm-3m (225)



No. 21
# Al2PbSe

Al2PbSe after structural relaxation (GGA-PBE, the Alexandria database).

```
4
Lattice="-0.5740 -1.5061 3.0894 -0.1335 -2.0354 -2.8252 8.6467 -1.6682 0.7932" Properties=species:S:1:pos:R:3 pbc="T T T"
Pb 1.8079 -2.1878 0.3304
Al 8.2920 -1.5998 0.7606
Al 4.6779 -0.9025 0.4291
Se 6.1312 -3.0219 0.7270
```

Values from the calculation:
DOS at the Fermi energy = 1.43 states/eV/f.u.
distance to the lowest polymorph of the same formula = 0.228 eV/atom
energy relative to the elements, uncorrected = 0.086 eV per atom
space-group type = Cmmm (65)



No. 22
# Cr5Se

Cr5Se after structural relaxation (GGA-PBE, the Alexandria database).

```
6
Lattice="1.4839 4.5305 -0.0025 -1.4839 4.5305 -0.0025 0.0000 1.8204 5.3990" Properties=species:S:1:pos:R:3 pbc="T T T"
Cr 0.0000 4.5218 4.4884
Cr 0.0000 0.9102 2.6995
Cr 0.0000 6.3596 0.9057
Cr 0.0000 7.2773 3.5529
Cr 0.0000 3.6041 1.8412
Se 0.0000 0.0000 0.0000
```

Values from the calculation:
DOS at the Fermi energy = 5.00 states/eV/f.u.
distance to the lowest polymorph of the same formula = 0.000 eV/atom
energy relative to the elements, uncorrected = 0.157 eV per atom
space-group type = C2/m (12)



No. 23
# Fe2TcSnC

Fe2TcSnC after structural relaxation (GGA-PBE, the Alexandria database).

```
5
Lattice="-0.2392 3.2375 2.2090 -3.8999 0.0237 -0.4570 -0.4078 -2.3224 3.3596" Properties=species:S:1:pos:R:3 pbc="T T T"
Fe -1.9499 0.0118 -0.2285
Fe -0.1196 1.6188 1.1045
C 0.0000 0.0000 0.0000
Sn -2.2735 0.4694 2.5558
Tc -0.2039 -1.1612 1.6798
```

Values from the calculation:
DOS at the Fermi energy = 4.01 states/eV/f.u.
energy of formation from the pure elements = 0.068 eV per atom
space-group type = P4/mmm (123)



No. 24
# Y2ThZn6

Y2ThZn6 after structural relaxation (GGA-PBE, the Alexandria database).

```
9
Lattice="3.5562 0.0959 -0.1500 -0.3449 6.7789 -3.8458 0.3261 -0.0503 7.7950" Properties=species:S:1:pos:R:3 pbc="T T T"
Y 0.1025 2.2260 3.9146
Y 3.4349 4.5984 -0.1154
Th 0.0000 0.0000 0.0000
Zn 1.7735 2.3177 1.2571
Zn 1.7639 4.5068 2.5420
Zn 1.6476 6.7934 1.2447
Zn 1.8757 4.4896 5.1716
Zn 1.9879 2.2846 6.4225
Zn 1.8899 0.0311 2.5544
```

Values from the calculation:
DOS at the Fermi energy = 9.07 states/eV/f.u.
energy of formation from the pure elements = -0.347 eV per atom
space-group type = P6/mmm (191)